KRb2PtF6 | GGA-PBEsol | optimized geometry

Summary:
Symmetry: No. 87
Final energy: -43.60 eV/cell
Mass density: 4.78 g/cm³

Cell: 6.125 6.467 6.125 Å, 118.26 90.00 118.26°
Fractional coordinates of all 10 atoms:
Rb1 0.750 0.500 0.250
Rb2 0.250 0.500 0.750
F1 0.711 0.000 0.855
F2 0.289 0.000 0.145
F3 0.237 0.475 0.237
F4 0.763 0.525 0.763
F5 0.145 0.000 0.711
F6 0.855 0.000 0.289
Pt1 0.000 0.000 0.000
K1 0.500 0.000 0.500